Entry 1:
Entry from Alexandria: crystalline ScTi at its relaxed geometry (PBE).

E_tot: -80.98 eV/cell
N(E_F): 17.19 states/eV per cell
space group: P6_3/m (176)
formation energy: 0.3652 eV per atom
energy above the lowest structure with this stoichiometry: 281 meV/atom

Geometry as CIF:
```
data_ScTi
_symmetry_space_group_name_H-M 'P 1'
_symmetry_Int_Tables_number 1
_symmetry_space_group_name_Hall 'P 1'
_cell_length_a 10.325
_cell_length_b 10.325
_cell_length_c 2.922
_cell_angle_alpha 90.00
_cell_angle_beta 90.00
_cell_angle_gamma 120.00
loop_
_atom_site_label
_atom_site_fract_x
_atom_site_fract_y
_atom_site_fract_z
Sc1 0.067 0.758 0.750
Ti1 0.478 0.605 0.750
Sc2 0.933 0.242 0.250
Sc3 0.758 0.692 0.250
Sc4 0.692 0.933 0.750
Ti2 0.127 0.522 0.750
Sc5 0.308 0.067 0.250
Ti3 0.395 0.873 0.750
Sc6 0.242 0.308 0.750
Ti4 0.873 0.478 0.250
Ti5 0.605 0.127 0.250
Ti6 0.522 0.395 0.250
```

---

Entry 2:
Entry from Alexandria: crystalline BaCd4As at its relaxed geometry (PBE).

E_tot: -10.75 eV/cell
N(E_F): 4.43 states/eV per cell
space group: F-43m (216)
formation energy: -0.0864 eV per atom

Geometry as CIF:
```
data_BaCd4As
_symmetry_space_group_name_H-M 'P 1'
_symmetry_Int_Tables_number 1
_symmetry_space_group_name_Hall 'P 1'
_cell_length_a 6.134
_cell_length_b 6.134
_cell_length_c 6.134
_cell_angle_alpha 60.00
_cell_angle_beta 60.00
_cell_angle_gamma 60.00
loop_
_atom_site_label
_atom_site_fract_x
_atom_site_fract_y
_atom_site_fract_z
Cd1 0.376 0.871 0.376
As1 0.750 0.750 0.750
Ba1 0.000 0.000 0.000
Cd2 0.871 0.376 0.376
Cd3 0.376 0.376 0.376
Cd4 0.376 0.376 0.871
```

---

The lowest E_tot belongs to which entry?
ScTi